First-principles (PBE) data for a relaxed NbBr5 crystal, as listed in OQMD.

Properties
Space group ... No. 62
ΔE to the lowest computed polymorph ... 0.0003 eV per atom
E_tot ... -187.1 eV/cell

POSCAR file:
```
NbBr5
1.0
-2.755 12.696 0.759
-17.080 -4.117 6.866
2.278 0.150 5.757
Br Nb
40 8
Direct
0.797 0.750 0.223 Br
0.030 0.651 0.227 Br
0.030 0.849 0.227 Br
0.046 0.250 0.236 Br
0.280 0.152 0.240 Br
0.280 0.348 0.240 Br
0.790 0.557 0.240 Br
0.790 0.943 0.240 Br
0.540 0.057 0.242 Br
0.540 0.443 0.242 Br
0.040 0.057 0.258 Br
0.040 0.443 0.258 Br
0.290 0.557 0.260 Br
0.290 0.943 0.260 Br
0.780 0.152 0.260 Br
0.780 0.348 0.260 Br
0.546 0.250 0.264 Br
0.530 0.651 0.273 Br
0.530 0.849 0.273 Br
0.297 0.750 0.277 Br
0.703 0.250 0.723 Br
0.470 0.151 0.727 Br
0.470 0.349 0.727 Br
0.454 0.750 0.736 Br
0.220 0.652 0.740 Br
0.220 0.848 0.740 Br
0.710 0.057 0.740 Br
0.710 0.443 0.740 Br
0.960 0.557 0.742 Br
0.960 0.943 0.742 Br
0.460 0.557 0.758 Br
0.460 0.943 0.758 Br
0.210 0.057 0.760 Br
0.210 0.443 0.760 Br
0.720 0.652 0.760 Br
0.720 0.848 0.760 Br
0.954 0.750 0.764 Br
0.970 0.151 0.773 Br
0.970 0.349 0.773 Br
0.203 0.250 0.777 Br
0.125 0.139 0.007 Nb
0.125 0.361 0.007 Nb
0.625 0.139 0.493 Nb
0.625 0.361 0.493 Nb
0.375 0.639 0.507 Nb
0.375 0.861 0.507 Nb
0.875 0.639 0.993 Nb
0.875 0.861 0.993 Nb
```